Below is CuHg after structural relaxation, with properties calculated at the PBE-GGA level.

Calculated values
- DFT formation energy (eV per atom) = 0.213
- calculated total energy (eV/atom) = -1.986

Cell lengths 3.006, 11.788, 6.462 Å; angles 90.00, 90.00, 90.00 degrees
Space group Pmmn (No. 59, origin choice 2)
Unique sites:
Cu  0.250  0.146  0.013
Cu  0.250  0.750  0.735
Hg  0.250  0.250  0.629
Hg  0.250  0.515  0.716

---

Below is CuHg3 after structural relaxation, with properties calculated at the PBE-GGA level.

Calculated values
- DFT formation energy (eV per atom) = 0.276
- calculated total energy (eV/atom) = -0.975

Cell lengths 9.1528, 9.1528, 3.7811 Å; angles 90.00, 90.00, 120.00 degrees
Space group R-3m (No. 166, hexagonal axes)
Unique sites:
Cu  0.0000  0.0000  0.0000
Hg  0.0000  0.5000  0.0000

---

Below is Cu5Hg3 after structural relaxation, with properties calculated at the PBE-GGA level.

Calculated values
- DFT formation energy (eV per atom) = 0.174
- calculated total energy (eV/atom) = -2.499

Cell lengths 3.211, 3.211, 12.156 Å; angles 90.00, 90.00, 90.00 degrees
Space group P4/mmm (No. 123)
Unique sites:
Cu  0.000  0.000  0.000
Cu  0.000  0.000  0.269
Cu  0.500  0.500  0.366
Hg  0.000  0.000  0.500
Hg  0.500  0.500  0.135

---

Below is CuHg3 after structural relaxation, with properties calculated at the PBE-GGA level.

Calculated values
- DFT formation energy (eV per atom) = 0.290
- calculated total energy (eV/atom) = -0.960

Cell lengths 6.975, 6.975, 6.975 Å; angles 90.00, 90.00, 90.00 degrees
Space group Fm-3m (No. 225)
Unique sites:
Cu  0.000  0.000  0.000
Hg  0.000  0.000  0.500
Hg  0.250  0.250  0.250

---

Below is CuHg2 after structural relaxation, with properties calculated at the PBE-GGA level.

Calculated values
- DFT formation energy (eV per atom) = 0.162
- calculated total energy (eV/atom) = -1.405

Cell lengths 9.938, 3.161, 7.857 Å; angles 90.00, 94.20, 90.00 degrees
Space group Cm (No. 8)
Unique sites:
Cu  0.000  0.000  0.000
Cu  0.132  0.500  0.207
Hg  0.140  0.000  0.495
Hg  0.214  0.500  0.885
Hg  0.364  0.000  0.234
Hg  0.427  0.000  0.691

---

Below is CuHg3 after structural relaxation, with properties calculated at the PBE-GGA level.

Calculated values
- DFT formation energy (eV per atom) = 0.128
- calculated total energy (eV/atom) = -1.122

Cell lengths 7.134, 8.236, 6.117 Å; angles 90.00, 90.00, 90.00 degrees
Space group Pnma (No. 62)
Unique sites:
Cu  0.146  0.250  0.049
Hg  0.008  0.750  0.370
Hg  0.173  0.557  0.850

---

Below is Cu2Hg after structural relaxation, with properties calculated at the PBE-GGA level.

Calculated values
- DFT formation energy (eV per atom) = 0.208
- calculated total energy (eV/atom) = -2.623

Cell lengths 4.369, 2.943, 14.507 Å; angles 90.00, 90.00, 90.00 degrees
Space group Amm2 (No. 38)
Unique sites:
Cu  0.000  0.000  0.000
Cu  0.000  0.000  0.320
Cu  0.000  0.000  0.674
Cu  0.500  0.000  0.780
Hg  0.500  0.000  0.122
Hg  0.500  0.000  0.436

---

Below is Cu5Hg3 after structural relaxation, with properties calculated at the PBE-GGA level.

Calculated values
- DFT formation energy (eV per atom) = 0.190
- calculated total energy (eV/atom) = -2.483

Cell lengths 7.193, 8.390, 4.166 Å; angles 90.00, 90.00, 90.00 degrees
Space group Cmmm (No. 65)
Unique sites:
Cu  0.000  0.000  0.000
Cu  0.249  0.500  0.500
Cu  0.250  0.250  0.000
Hg  0.000  0.232  0.500
Hg  0.000  0.500  0.000

---

Below is CuHg2 after structural relaxation, with properties calculated at the PBE-GGA level.

Calculated values
- DFT formation energy (eV per atom) = 0.172
- calculated total energy (eV/atom) = -1.394

Cell lengths 6.392, 6.392, 6.392 Å; angles 90.00, 90.00, 90.00 degrees
Space group Fm-3m (No. 225)
Unique sites:
Cu  0.000  0.000  0.000
Hg  0.250  0.250  0.250

---

Below is CuHg3 after structural relaxation, with properties calculated at the PBE-GGA level.

Calculated values
- DFT formation energy (eV per atom) = 0.252
- calculated total energy (eV/atom) = -0.999

Cell lengths 4.901, 4.901, 15.099 Å; angles 90.00, 90.00, 90.00 degrees
Space group I4/mmm (No. 139)
Unique sites:
Cu  0.000  0.000  0.084
Hg  0.000  0.000  0.367
Hg  0.000  0.500  0.000
Hg  0.000  0.500  0.250

---

Below is Cu2Hg after structural relaxation, with properties calculated at the PBE-GGA level.

Calculated values
- DFT formation energy (eV per atom) = 0.215
- calculated total energy (eV/atom) = -2.616

Cell lengths 7.489, 4.326, 2.834 Å; angles 90.00, 90.10, 90.00 degrees
Space group C2/m (No. 12)
Unique sites:
Cu  0.167  0.000  0.442
Hg  0.000  0.500  0.000

---

Below is CuHg after structural relaxation, with properties calculated at the PBE-GGA level.

Calculated values
- DFT formation energy (eV per atom) = 0.239
- calculated total energy (eV/atom) = -1.960

Cell lengths 5.225, 6.704, 8.680 Å; angles 90.00, 90.00, 90.00 degrees
Space group P2_12_12_1 (No. 19)
Unique sites:
Cu  0.042  0.090  0.213
Cu  0.205  0.009  0.942
Hg  0.081  0.208  0.676
Hg  0.204  0.409  0.036